#i
Below is a relaxed structure of Mn2PbCl, with properties calculated at the GGA-PBE level.

```
4
Lattice="-1.220 -2.093 2.243 3.401 0.373 2.198 -2.749 5.217 3.374" Properties=species:S:1:pos:R:3 pbc="T T T"
Mn 2.436 0.499 1.791
Mn 1.291 2.669 3.193
Cl -0.121 3.146 5.301
Pb -0.447 0.351 2.515
```

Computed properties:
- volume (A^3/atom) = 22.811


#ii
Below is a relaxed structure of Mn2PbCl, with properties calculated at the GGA-PBE level.

```
4
Lattice="-3.952 -0.181 2.815 -4.115 2.131 -1.451 -3.802 -2.713 -1.325" Properties=species:S:1:pos:R:3 pbc="T T T"
Mn -2.967 -0.191 0.010
Mn -8.901 -0.573 0.030
Pb -5.934 -0.382 0.020
Cl 0.000 0.000 0.000
```

Computed properties:
- volume (A^3/atom) = 20.234


Of them, #ii has the lowest stability.


#i
Below is a relaxed structure of Mn2PbCl, with properties calculated at the GGA-PBE level.

```
4
Lattice="3.186 0.000 0.000 0.000 5.405 0.000 0.000 0.000 4.795" Properties=species:S:1:pos:R:3 pbc="T T T"
Pb 1.593 0.000 2.397
Mn 1.593 2.703 0.000
Mn 0.000 0.000 0.000
Cl 0.000 2.703 2.397
```

Computed properties:
- volume (A^3/atom) = 20.640


#ii
Below is a relaxed structure of Mn2PbCl, with properties calculated at the GGA-PBE level.

```
4
Lattice="-1.561 3.754 -1.765 -1.222 -1.649 -2.427 -5.551 -1.489 1.741" Properties=species:S:1:pos:R:3 pbc="T T T"
Mn -2.198 1.223 -1.020
Mn -6.385 -2.809 -0.327
Pb -3.259 -1.646 -0.618
Cl -6.649 -0.860 -1.514
```

Computed properties:
- volume (A^3/atom) = 20.403


#iii
Below is a relaxed structure of Mn2PbCl, with properties calculated at the GGA-PBE level.

```
4
Lattice="5.995 0.040 0.000 3.266 5.028 0.000 -4.631 -2.534 2.843" Properties=species:S:1:pos:R:3 pbc="T T T"
Cl 2.998 0.020 1.421
Mn 0.000 0.000 0.000
Mn 1.633 2.514 1.421
Pb 4.631 2.534 0.000
```

Computed properties:
- volume (A^3/atom) = 21.331


#iv
Below is a relaxed structure of Mn2PbCl, with properties calculated at the GGA-PBE level.

```
4
Lattice="-0.516 4.928 -0.674 -1.319 3.514 -3.304 -5.557 0.559 1.398" Properties=species:S:1:pos:R:3 pbc="T T T"
Mn -0.223 0.061 0.035
Mn -5.719 6.564 -1.781
Pb -3.953 4.428 -1.172
Cl -1.194 2.448 -0.951
```

Computed properties:
- volume (A^3/atom) = 20.854


Of them, #iii has the lowest stability.


#i
Below is a relaxed structure of MnPbCl2, with properties calculated at the GGA-PBE level.

```
4
Lattice="-5.144 2.097 -2.260 -5.805 -1.068 -1.060 -3.111 2.252 4.228" Properties=species:S:1:pos:R:3 pbc="T T T"
Mn -10.545 2.460 0.681
Cl -6.239 1.685 1.008
Cl -3.902 2.208 3.674
Pb -3.515 0.820 0.227
```

Computed properties:
- volume (A^3/atom) = 26.592


#ii
Below is a relaxed structure of MnPbCl2, with properties calculated at the GGA-PBE level.

```
4
Lattice="-0.908 3.381 -0.762 -0.350 -1.357 3.297 9.453 3.048 2.259" Properties=species:S:1:pos:R:3 pbc="T T T"
Cl 3.923 1.265 0.937
Cl 0.804 0.259 0.192
Pb 6.461 3.298 2.962
Mn 1.734 1.774 1.833
```

Computed properties:
- volume (A^3/atom) = 27.757


#iii
Below is a relaxed structure of MnPbCl2, with properties calculated at the GGA-PBE level.

```
4
Lattice="0.000 3.630 3.630 3.630 0.000 3.630 3.630 3.630 0.000" Properties=species:S:1:pos:R:3 pbc="T T T"
Cl 1.815 1.815 1.815
Cl 5.445 5.445 5.445
Mn 0.000 0.000 0.000
Pb 3.630 3.630 3.630
```

Computed properties:
- volume (A^3/atom) = 23.911


#iv
Below is a relaxed structure of MnPbCl2, with properties calculated at the GGA-PBE level.

```
4
Lattice="-4.965 -2.095 3.758 -4.468 -4.570 -1.524 6.448 1.262 0.016" Properties=species:S:1:pos:R:3 pbc="T T T"
Cl 0.000 0.000 0.000
Cl -1.368 -3.320 -0.195
Pb -1.617 -2.083 2.446
Mn -4.717 -3.332 1.117
```

Computed properties:
- volume (A^3/atom) = 25.197


Of them, #iii has the lowest stability.